This record from Alexandria describes BaLa2Ag after structural relaxation. The functional is GGA-PBE.

For the calculated density, the calculation gives 6.24 g cm⁻³. Its formation energy from the elements is 0.3 eV/f.u. As for the total magnetization: 0.00 μB per formula unit. The energy above the lowest structure with this stoichiometry is 151 meV/atom.

```
BaLa2Ag
1.0
-1.8649 -2.0897 2.6230
-3.5248 -2.1412 -4.2120
3.9198 -4.6491 -0.9169
Ag La Ba
1 2 1
Direct
0.5000 0.0000 0.5000
0.5000 0.5000 0.0000
0.0000 0.0000 0.0000
0.0000 0.5000 0.5000
```